The following is a PBE-GGA calculation of an optimized crystal structure of Na3NbCl2F6, from Alexandria via LeMat-Bulk.

```
Na3NbCl2F6
1.0
6.9398 -3.4922 0.0000
6.9398 3.4922 0.0000
-0.0030 0.0000 4.8856
Na Nb Cl F
3 1 2 6
Cartesian
0.0000 0.0000 0.0000
3.4684 1.7461 2.4428
3.4684 -1.7461 2.4428
6.9383 0.0000 2.4428
2.5673 0.0000 4.1921
11.3094 0.0000 0.6935
6.3756 1.4018 3.6522
7.5011 1.4018 1.2335
5.1153 0.0000 1.7394
8.7614 0.0000 3.1463
6.3756 -1.4018 3.6522
7.5011 -1.4018 1.2335
```

Summary:
DFT total energy	-4.980	eV/atom
volume	237	Å³/cell
total magnetic moment	0.0	μB/f.u.